Entry 1:
# K3MnSe2O8 (PBE+U, relaxed)
data_K3MnSe2O8
_chemical_formula_sum 'K3 Mn1 Se2 O8'
_symmetry_space_group_name_H-M 'P -3 m 1'
_symmetry_Int_Tables_number 164
_symmetry_space_group_name_Hall '-P 3 2"'
_cell_length_a 5.8953
_cell_length_b 5.8953
_cell_length_c 7.6466
_cell_angle_alpha 90.00
_cell_angle_beta 90.00
_cell_angle_gamma 120.00
loop_
_atom_site_label
_atom_site_fract_x
_atom_site_fract_y
_atom_site_fract_z
_atom_site_occupancy
K1 0.0000 0.0000 0.0000 1
K2 0.3333 0.6667 0.6867 1
Mn1 0.0000 0.0000 0.5000 1
Se1 0.3333 0.6667 0.2469 1
O1 0.1704 0.3409 0.3228 1
O2 0.3333 0.6667 0.0276 1
# Magnetization ... 0.330 μB per atom
# E_tot ... -5.342 eV/atom

***

Entry 2:
# K2MnSe2O6 (PBE+U, relaxed)
data_K2MnSe2O6
_chemical_formula_sum 'K4 Mn2 Se4 O12'
_symmetry_space_group_name_H-M 'C 1 2/m 1'
_symmetry_Int_Tables_number 12
_symmetry_space_group_name_Hall '-C 2y'
_cell_length_a 9.236
_cell_length_b 5.921
_cell_length_c 7.196
_cell_angle_alpha 90.00
_cell_angle_beta 111.67
_cell_angle_gamma 90.00
loop_
_atom_site_label
_atom_site_fract_x
_atom_site_fract_y
_atom_site_fract_z
_atom_site_occupancy
K1 0.203 0.000 0.156 1
Mn1 0.000 0.000 0.500 1
Se1 0.088 0.500 0.244 1
O1 0.023 0.267 0.741 1
O2 0.248 0.000 0.545 1
# Distance to the lowest polymorph of the same formula ... 79.1 meV per atom
# Magnetization ... 0.455 μB per atom
# E_tot ... -5.526 eV/atom

***

Entry 3:
# KMnSe2O8 (PBE+U, relaxed)
data_KMnSe2O8
_chemical_formula_sum 'K3 Mn3 Se6 O24'
_symmetry_space_group_name_H-M 'R -3'
_symmetry_Int_Tables_number 148
_symmetry_space_group_name_Hall '-R 3'
_cell_length_a 5.0434
_cell_length_b 5.0434
_cell_length_c 25.7308
_cell_angle_alpha 90.00
_cell_angle_beta 90.00
_cell_angle_gamma 120.00
loop_
_atom_site_label
_atom_site_fract_x
_atom_site_fract_y
_atom_site_fract_z
_atom_site_occupancy
K1 0.0000 0.0000 0.0000 1
Mn1 0.0000 0.0000 0.5000 1
Se1 0.0000 0.0000 0.2358 1
O1 0.0000 0.0000 0.2999 1
O2 0.0066 0.3602 0.8813 1
# Distance to the lowest polymorph of the same formula ... 33.2 meV per atom
# Magnetization ... 0.333 μB per atom
# E_tot ... -5.614 eV/atom

***

Entry 4:
# K2MnSi2O6 (PBE+U, relaxed)
data_K2MnSi2O6
_chemical_formula_sum 'K6 Mn3 Si6 O18'
_symmetry_space_group_name_H-M 'R -3 m'
_symmetry_Int_Tables_number 166
_symmetry_space_group_name_Hall '-R 3 2"'
_cell_length_a 5.7580
_cell_length_b 5.7580
_cell_length_c 17.8465
_cell_angle_alpha 90.00
_cell_angle_beta 90.00
_cell_angle_gamma 120.00
loop_
_atom_site_label
_atom_site_fract_x
_atom_site_fract_y
_atom_site_fract_z
_atom_site_occupancy
K1 0.0000 0.0000 0.2039 1
Mn1 0.0000 0.0000 0.0000 1
Si1 0.0000 0.0000 0.4081 1
O1 0.0154 0.5077 0.2569 1
# Magnetization ... 0.455 μB per atom
# E_tot ... -6.685 eV/atom

***

Entry 5:
# KMnSiO4 (PBE+U, relaxed)
data_KMnSiO4
_chemical_formula_sum 'K2 Mn2 Si2 O8'
_symmetry_space_group_name_H-M 'P 1 21/m 1'
_symmetry_Int_Tables_number 11
_symmetry_space_group_name_Hall '-P 2yb'
_cell_length_a 5.160
_cell_length_b 5.593
_cell_length_c 6.990
_cell_angle_alpha 90.00
_cell_angle_beta 102.72
_cell_angle_gamma 90.00
loop_
_atom_site_label
_atom_site_fract_x
_atom_site_fract_y
_atom_site_fract_z
_atom_site_occupancy
K1 0.141 0.250 0.095 1
Mn1 0.191 0.750 0.466 1
Si1 0.362 0.250 0.660 1
O1 0.163 0.024 0.679 1
O2 0.329 0.750 0.211 1
O3 0.433 0.250 0.439 1
# Magnetization ... 0.571 μB per atom
# E_tot ... -6.896 eV/atom

***

Entry 6:
# K3Mn5Si12O30 (PBE+U, relaxed)
data_K3Mn5Si12O30
_chemical_formula_sum 'K6 Mn10 Si24 O60'
_symmetry_space_group_name_H-M 'P 6/m c c'
_symmetry_Int_Tables_number 192
_symmetry_space_group_name_Hall '-P 6 2c'
_cell_length_a 10.6164
_cell_length_b 10.6164
_cell_length_c 14.4727
_cell_angle_alpha 90.00
_cell_angle_beta 90.00
_cell_angle_gamma 120.00
loop_
_atom_site_label
_atom_site_fract_x
_atom_site_fract_y
_atom_site_fract_z
_atom_site_occupancy
K1 0.0000 0.0000 0.2500 1
K2 0.3333 0.6667 0.0000 1
Mn1 0.0000 0.5000 0.2500 1
Mn2 0.3333 0.6667 0.2500 1
Si1 0.1102 0.3396 0.1118 1
O1 0.0564 0.2693 0.3610 1
O2 0.1238 0.3712 0.0000 1
O3 0.1559 0.4897 0.1658 1
# Magnetization ... 0.505 μB per atom
# E_tot ... -7.586 eV/atom

***

Entry 7:
# K3Sm3MnO8 (PBE+U, relaxed)
data_K3Sm3MnO8
_chemical_formula_sum 'K9 Sm9 Mn3 O24'
_symmetry_space_group_name_H-M 'R -3 m'
_symmetry_Int_Tables_number 166
_symmetry_space_group_name_Hall '-R 3 2"'
_cell_length_a 6.8945
_cell_length_b 6.8945
_cell_length_c 18.8850
_cell_angle_alpha 90.00
_cell_angle_beta 90.00
_cell_angle_gamma 120.00
loop_
_atom_site_label
_atom_site_fract_x
_atom_site_fract_y
_atom_site_fract_z
_atom_site_occupancy
K1 0.0000 0.5000 0.0000 1
Sm1 0.0000 0.5000 0.5000 1
Mn1 0.0000 0.0000 0.5000 1
O1 0.0000 0.0000 0.2297 1
O2 0.0420 0.5210 0.2236 1
# Magnetization ... 0.196 μB per atom
# E_tot ... -6.682 eV/atom

***

Entry 8:
# KSmMnO3 (PBE+U, relaxed)
data_KSmMnO3
_chemical_formula_sum 'K2 Sm2 Mn2 O6'
_symmetry_space_group_name_H-M 'P 1 21/m 1'
_symmetry_Int_Tables_number 11
_symmetry_space_group_name_Hall '-P 2yb'
_cell_length_a 7.520
_cell_length_b 3.737
_cell_length_c 9.100
_cell_angle_alpha 90.00
_cell_angle_beta 109.30
_cell_angle_gamma 90.00
loop_
_atom_site_label
_atom_site_fract_x
_atom_site_fract_y
_atom_site_fract_z
_atom_site_occupancy
K1 0.186 0.250 0.167 1
Sm1 0.335 0.750 0.854 1
Mn1 0.027 0.250 0.626 1
O1 0.061 0.750 0.607 1
O2 0.123 0.250 0.848 1
O3 0.456 0.750 0.117 1
# Magnetization ... 0.500 μB per atom
# E_tot ... -6.747 eV/atom

***

Entry 9:
# KSmMn4O12 (PBE+U, relaxed)
data_KSmMn4O12
_chemical_formula_sum 'K2 Sm2 Mn8 O24'
_symmetry_space_group_name_H-M 'A m m 2'
_symmetry_Int_Tables_number 38
_symmetry_space_group_name_Hall 'A 2 -2'
_cell_length_a 7.580
_cell_length_b 7.576
_cell_length_c 7.610
_cell_angle_alpha 90.00
_cell_angle_beta 90.00
_cell_angle_gamma 90.00
loop_
_atom_site_label
_atom_site_fract_x
_atom_site_fract_y
_atom_site_fract_z
_atom_site_occupancy
K1 0.000 0.000 0.000 1
Sm1 0.500 0.000 0.487 1
Mn1 0.244 0.248 0.745 1
O1 0.000 0.224 0.735 1
O2 0.248 0.000 0.262 1
O3 0.269 0.240 0.495 1
O4 0.288 0.000 0.735 1
O5 0.500 0.226 0.250 1
# Magnetization ... 0.889 μB per atom
# E_tot ... -6.484 eV/atom

***

Entry 10:
# KSmMn2O8 (PBE+U, relaxed)
data_KSmMn2O8
_chemical_formula_sum 'K1 Sm1 Mn2 O8'
_symmetry_space_group_name_H-M 'P -3'
_symmetry_Int_Tables_number 147
_symmetry_space_group_name_Hall '-P 3'
_cell_length_a 5.7930
_cell_length_b 5.7930
_cell_length_c 7.8012
_cell_angle_alpha 90.00
_cell_angle_beta 90.00
_cell_angle_gamma 120.00
loop_
_atom_site_label
_atom_site_fract_x
_atom_site_fract_y
_atom_site_fract_z
_atom_site_occupancy
K1 0.0000 0.0000 0.0000 1
Sm1 0.0000 0.0000 0.5000 1
Mn1 0.3333 0.6667 0.7631 1
O1 0.1712 0.3519 0.6902 1
O2 0.3333 0.6667 0.9712 1
# Magnetization ... 0.167 μB per atom
# E_tot ... -6.464 eV/atom

***

Entry 11:
# K3Sm2MnO6 (PBE+U, relaxed)
data_K3Sm2MnO6
_chemical_formula_sum 'K6 Sm4 Mn2 O12'
_symmetry_space_group_name_H-M 'C 1 2/m 1'
_symmetry_Int_Tables_number 12
_symmetry_space_group_name_Hall '-C 2y'
_cell_length_a 6.147
_cell_length_b 10.165
_cell_length_c 6.642
_cell_angle_alpha 90.00
_cell_angle_beta 109.38
_cell_angle_gamma 90.00
loop_
_atom_site_label
_atom_site_fract_x
_atom_site_fract_y
_atom_site_fract_z
_atom_site_occupancy
K1 0.000 0.000 0.000 1
K2 0.000 0.338 0.000 1
Sm1 0.000 0.164 0.500 1
Mn1 0.000 0.500 0.500 1
O1 0.208 0.354 0.670 1
O2 0.219 0.000 0.713 1
# Magnetization ... 0.333 μB per atom
# E_tot ... -6.400 eV/atom

***

Entry 12:
# KSrMnSnO6 (PBE+U, relaxed)
data_KSrMnSnO6
_chemical_formula_sum 'K4 Sr4 Mn4 Sn4 O24'
_symmetry_space_group_name_H-M 'F -4 3 m'
_symmetry_Int_Tables_number 216
_symmetry_space_group_name_Hall 'F -4 2 3'
_cell_length_a 7.991
_cell_length_b 7.991
_cell_length_c 7.991
_cell_angle_alpha 90.00
_cell_angle_beta 90.00
_cell_angle_gamma 90.00
loop_
_atom_site_label
_atom_site_fract_x
_atom_site_fract_y
_atom_site_fract_z
_atom_site_occupancy
K1 0.000 0.000 0.000 1
Sr1 0.000 0.000 0.500 1
Mn1 0.250 0.250 0.750 1
Sn1 0.250 0.250 0.250 1
O1 0.009 0.250 0.750 1
# Magnetization ... 0.394 μB per atom
# E_tot ... -6.044 eV/atom

***

Entry 13:
# KSrMnO3 (PBE+U, relaxed)
data_KSrMnO3
_chemical_formula_sum 'K4 Sr4 Mn4 O12'
_symmetry_space_group_name_H-M 'C 1 2/m 1'
_symmetry_Int_Tables_number 12
_symmetry_space_group_name_Hall '-C 2y'
_cell_length_a 13.672
_cell_length_b 3.900
_cell_length_c 7.572
_cell_angle_alpha 90.00
_cell_angle_beta 105.19
_cell_angle_gamma 90.00
loop_
_atom_site_label
_atom_site_fract_x
_atom_site_fract_y
_atom_site_fract_z
_atom_site_occupancy
K1 0.155 0.000 0.072 1
Sr1 0.157 0.000 0.584 1
Mn1 0.007 0.500 0.270 1
O1 0.007 0.000 0.293 1
O2 0.137 0.500 0.796 1
O3 0.152 0.500 0.349 1
# Magnetization ... 0.674 μB per atom
# E_tot ... -6.095 eV/atom

***

Entry 14:
# KSr2MnO4 (PBE+U, relaxed)
data_KSr2MnO4
_chemical_formula_sum 'K4 Sr8 Mn4 O16'
_symmetry_space_group_name_H-M 'C m c m'
_symmetry_Int_Tables_number 63
_symmetry_space_group_name_Hall '-C 2c 2'
_cell_length_a 3.654
_cell_length_b 12.674
_cell_length_c 12.600
_cell_angle_alpha 90.00
_cell_angle_beta 90.00
_cell_angle_gamma 90.00
loop_
_atom_site_label
_atom_site_fract_x
_atom_site_fract_y
_atom_site_fract_z
_atom_site_occupancy
K1 0.000 0.091 0.250 1
Sr1 0.000 0.370 0.039 1
Mn1 0.000 0.188 0.750 1
O1 0.000 0.000 0.000 1
O2 0.000 0.251 0.616 1
O3 0.000 0.373 0.250 1
# Magnetization ... 0.500 μB per atom
# E_tot ... -6.066 eV/atom

***

Entry 15:
# K3TaMn3O8 (PBE+U, relaxed)
data_K3TaMn3O8
_chemical_formula_sum 'K3 Ta1 Mn3 O8'
_symmetry_space_group_name_H-M 'P -1'
_symmetry_Int_Tables_number 2
_symmetry_space_group_name_Hall '-P 1'
_cell_length_a 6.175
_cell_length_b 6.361
_cell_length_c 7.188
_cell_angle_alpha 115.75
_cell_angle_beta 90.70
_cell_angle_gamma 118.17
loop_
_atom_site_label
_atom_site_fract_x
_atom_site_fract_y
_atom_site_fract_z
_atom_site_occupancy
K1 0.000 0.000 0.000 1
K2 0.000 0.500 0.000 1
K3 0.500 0.000 0.000 1
Ta1 0.000 0.500 0.500 1
Mn1 0.000 0.000 0.500 1
Mn2 0.500 0.000 0.500 1
Mn3 0.500 0.500 0.500 1
O1 0.190 0.921 0.661 1
O2 0.233 0.495 0.690 1
O3 0.260 0.526 0.328 1
O4 0.272 0.081 0.349 1
# Magnetization ... 0.733 μB per atom
# E_tot ... -6.959 eV/atom

***

Entry 16:
# K3Ta2MnO8 (PBE+U, relaxed)
data_K3Ta2MnO8
_chemical_formula_sum 'K3 Ta2 Mn1 O8'
_symmetry_space_group_name_H-M 'P -3 m 1'
_symmetry_Int_Tables_number 164
_symmetry_space_group_name_Hall '-P 3 2"'
_cell_length_a 5.8539
_cell_length_b 5.8539
_cell_length_c 7.5816
_cell_angle_alpha 90.00
_cell_angle_beta 90.00
_cell_angle_gamma 120.00
loop_
_atom_site_label
_atom_site_fract_x
_atom_site_fract_y
_atom_site_fract_z
_atom_site_occupancy
K1 0.0000 0.0000 0.0000 1
K2 0.3333 0.6667 0.6837 1
Ta1 0.3333 0.6667 0.2573 1
Mn1 0.0000 0.0000 0.5000 1
O1 0.1597 0.3194 0.3459 1
O2 0.3333 0.6667 0.0172 1
# Magnetization ... 0.143 μB per atom
# E_tot ... -7.418 eV/atom